Below is a relaxed SmHoCuTc crystal, with properties calculated at the PBE level.

Computed properties:
Spin magnetization   0.0 μB per cell
ΔH_f (0 K)   -0.05 eV per atom

```
SmHoCuTc
1.0
0.000 3.470 3.470
3.470 0.000 3.470
3.470 3.470 0.000
Sm Ho Cu Tc
1 1 1 1
direct
0.000 0.000 0.000
0.500 0.500 0.500
0.750 0.750 0.750
0.250 0.250 0.250
```

Below is a relaxed TbTmPu crystal, with properties calculated at the PBE level.

Computed properties:
Spin magnetization   6.1 μB per cell
Relative energy among the computed polymorphs   0 meV per atom
ΔH_f (0 K)   0.11 eV per atom

```
TbTmPu
1.0
-1.741 1.741 7.364
1.741 -1.741 7.364
1.741 1.741 -7.364
Tb Tm Pu
1 1 1
direct
0.000 0.000 0.000
0.671 0.671 0.000
0.334 0.334 0.000
```

Below is a relaxed KLiTlSe2 crystal, with properties calculated at the PBE level.

Computed properties:
ΔE_f (raw)   -0.827 eV per atom
Spin magnetization   0.0 μB per cell

```
KLiTlSe2
1.0
6.812 -2.610 0.000
6.812 2.610 0.000
-1.700 0.000 8.901
K Li Tl Se
2 2 2 4
direct
0.154 0.154 0.183
0.846 0.846 0.817
0.169 0.169 0.563
0.831 0.831 0.437
0.441 0.441 0.279
0.559 0.559 0.721
0.106 0.106 0.813
0.358 0.358 0.562
0.642 0.642 0.438
0.894 0.894 0.187
```

Below is a relaxed U2OsAu crystal, with properties calculated at the PBE level.

Computed properties:
Spin magnetization   3.2 μB per cell
ΔH_f (0 K)   0.30 eV per atom

```
U2OsAu
1.0
1.466 0.846 10.856
-1.466 0.846 10.856
0.000 -1.693 10.856
U Os Au
2 1 1
direct
0.094 0.094 0.094
0.906 0.906 0.906
0.500 0.500 0.500
0.000 0.000 0.000
```

Below is a relaxed Ho6SbAs2Se3 crystal, with properties calculated at the PBE level.

Computed properties:
ΔE_f (raw)   -1.593 eV per atom
Spin magnetization   0.0 μB per cell

```
Ho6SbAs2Se3
1.0
9.002 -2.063 0.000
9.002 2.063 0.000
-1.867 0.000 8.054
Ho Sb As Se
6 1 2 3
direct
0.005 0.005 0.262
0.329 0.329 0.423
0.329 0.329 0.902
0.671 0.671 0.098
0.671 0.671 0.577
0.995 0.995 0.738
0.500 0.500 0.000
0.167 0.167 0.335
0.833 0.833 0.665
0.164 0.164 0.833
0.500 0.500 0.500
0.836 0.836 0.167
```

Below is a relaxed CaSmGd crystal, with properties calculated at the PBE level.

Computed properties:
Spin magnetization   7.5 μB per cell
Relative energy among the computed polymorphs   5 meV per atom
ΔH_f (0 K)   0.05 eV per atom

```
CaSmGd
1.0
3.669 0.000 0.000
-1.835 3.178 0.000
0.000 0.000 9.137
Ca Sm Gd
1 1 1
direct
0.000 0.000 0.000
0.333 0.667 0.653
0.667 0.333 0.346
```

Below is a relaxed CdSe3 crystal, with properties calculated at the PBE level.

Computed properties:
ΔE_f (raw)   0.005 eV per atom
Spin magnetization   0.0 μB per cell

```
CdSe3
1.0
-1.884 1.889 8.329
1.884 -1.889 8.329
1.884 1.889 -8.329
Cd Se
1 3
direct
0.000 0.000 0.000
0.238 0.738 0.500
0.500 0.500 0.000
0.762 0.262 0.500
```

Below is a relaxed Nd3GaGe2Pd9 crystal, with properties calculated at the PBE level.

Computed properties:
Spin magnetization   0.0 μB per cell
ΔH_f (0 K)   -0.56 eV per atom

```
Nd3GaGe2Pd9
1.0
6.466 0.000 0.000
-3.233 5.600 0.000
0.000 0.000 8.999
Nd Ga Ge Pd
3 1 2 9
direct
0.000 0.000 0.000
0.333 0.667 0.710
0.667 0.333 0.290
0.000 0.000 0.500
0.333 0.667 0.182
0.667 0.333 0.818
0.000 0.500 0.000
0.141 0.282 0.286
0.141 0.859 0.286
0.282 0.141 0.714
0.500 0.000 0.000
0.500 0.500 0.000
0.718 0.859 0.286
0.859 0.141 0.714
0.859 0.718 0.714
```